TlTc3 PBE relaxed; SG = P4/mmm (123)
1.0
2.878 0.000 0.000
0.000 2.878 0.000
0.000 0.000 7.984
Tl Tc
1 3
Direct
0.000 0.000 0.000
0.000 0.000 0.500
0.500 0.500 0.280
0.500 0.500 0.720



ThGaBi2 PBE relaxed; SG = P4/mmm (123)
1.0
4.261 0.000 0.000
0.000 4.261 0.000
0.000 0.000 6.408
Th Ga Bi
1 1 2
Direct
0.000 0.000 0.000
0.000 0.000 0.500
0.500 0.500 0.252
0.500 0.500 0.748



MgCuAu2 PBE relaxed; SG = I-4m2 (119)
1.0
3.976 0.000 0.000
0.000 3.976 0.000
0.000 0.000 8.326
Mg Cu Au
2 2 4
Direct
0.000 0.000 0.000
0.500 0.500 0.500
0.000 0.500 0.750
0.500 0.000 0.250
0.000 0.000 0.500
0.000 0.500 0.250
0.500 0.000 0.750
0.500 0.500 0.000



Be4ZnCo5 PBE relaxed; SG = P4/mmm (123)
1.0
2.617 0.000 0.000
0.000 2.617 0.000
0.000 0.000 13.692
Be Zn Co
4 1 5
Direct
0.000 0.000 0.094
0.000 0.000 0.279
0.000 0.000 0.721
0.000 0.000 0.906
0.000 0.000 0.500
0.500 0.500 0.000
0.500 0.500 0.187
0.500 0.500 0.374
0.500 0.500 0.626
0.500 0.500 0.813



LiEuIr4 PBE relaxed; SG = F-43m (216)
1.0
0.000 3.752 3.752
3.752 0.000 3.752
3.752 3.752 0.000
Li Eu Ir
1 1 4
Direct
0.000 0.000 0.000
0.250 0.250 0.250
0.124 0.625 0.625
0.625 0.124 0.625
0.625 0.625 0.124
0.625 0.625 0.625



The calculation returns the following electronic total energy values, one per record and in order: -7.945 -4.888 -3.388 -5.402 -8.181 eV/atom.